A plane-wave DFT calculation with GGA+U was carried out for a geometry-optimized KNi2O structure.

Cell and atoms, written as CIF:
```
data_KNi2O
_space_group_name_H-M_alt 'P 1'
_space_group_IT_number 1
_space_group_name_Hall 'P 1'
_cell_length_a 5.768
_cell_length_b 5.768
_cell_length_c 6.259
_cell_angle_alpha 62.57
_cell_angle_beta 62.57
_cell_angle_gamma 90.00
loop_
_atom_site_label
_atom_site_fract_x
_atom_site_fract_y
_atom_site_fract_z
Ni1 0.375 0.125 0.250
Ni2 0.375 0.625 0.250
Ni3 0.375 0.625 0.750
Ni4 0.875 0.625 0.750
K1 0.000 0.000 0.000
K2 0.750 0.250 0.500
O1 0.500 0.500 0.000
O2 0.250 0.750 0.500
```

Summary:
Space-group type   I4_1/amd
D(E_F)   0.225 states/eV per atom
Total moment   0.25 μB/atom
Raw total energy   -0.2093 Ry/atom